Entry 1:
## Te2PAu (SCAN)

Data for a PBEsol-optimized structure of Te2PAu.

Calculated density (g cm⁻³): 8.8
SG: No. 35
E (eV per atom): -38.113
Energy relative to the elements, uncorrected (meV per atom): 402
Volume (Å³/atom): 22.68
Spin magnetization (μB per cell): 0.00

Unit cell a=3.233 b=3.233 c=9.422 alpha=90.00 beta=90.00 gamma=112.87
Atoms (fractional coordinates):
P (0.500, 0.500, 0.289)
Au (0.000, 0.000, 0.467)
Te (0.000, 0.000, 0.043)
Te (0.500, 0.500, 0.701)

=====

Entry 2:
## Sc2NbOsS (SCAN)

Data for a PBEsol-optimized structure of Sc2NbOsS.

Calculated density (g cm⁻³): 7.2
SG: No. 123
E (eV per atom): -28.656
Energy relative to the elements, uncorrected (meV per atom): -34
Volume (Å³/atom): 18.64
Spin magnetization (μB per cell): 0.01

Unit cell a=4.320 b=4.645 c=4.645 alpha=90.00 beta=90.00 gamma=90.00
Atoms (fractional coordinates):
Os (0.500, 0.000, 0.000)
Sc (0.000, 0.500, 0.000)
S (0.000, 0.000, 0.000)
Nb (0.500, 0.500, 0.500)
Sc (0.000, 0.000, 0.500)

=====

Entry 3:
## Cu2TcAu (SCAN)

Data for a PBEsol-optimized structure of Cu2TcAu.

Calculated density (g cm⁻³): 12.6
SG: No. 47
ΔE_f (eV/atom): 0.301
E (eV per atom): -33.352
Volume (Å³/atom): 13.90
Spin magnetization (μB per cell): 0.84

Unit cell a=2.628 b=4.499 c=4.705 alpha=90.00 beta=90.00 gamma=90.00
Each line ends with the local moment (μB).
Atoms (fractional coordinates):
Tc (0.500, 0.500, 0.000)  0.80
Au (0.000, 0.500, 0.500)  0.02
Cu (0.500, 0.000, 0.500)  0.00
Cu (0.000, 0.000, 0.000)  0.04

=====

Entry 4:
## RuPtSe2 (SCAN)

Data for a PBEsol-optimized structure of RuPtSe2.

Calculated density (g cm⁻³): 10.2
SG: No. 166
E (eV per atom): -36.212
Distance to the lowest polymorph of the same formula (eV/atom): 0.029
Energy relative to the elements, uncorrected (meV per atom): 82
Volume (Å³/atom): 18.50
Spin magnetization (μB per cell): 0.64

Unit cell a=3.311 b=3.311 c=8.023 alpha=78.09 beta=78.09 gamma=60.00
Each line ends with the local moment (μB).
Atoms (fractional coordinates):
Se (0.899, 0.899, 0.302)  0.05
Pt (0.000, 0.000, 0.000)  -0.03
Se (0.101, 0.101, 0.698)  0.05
Ru (0.500, 0.500, 0.500)  0.54

=====

Entry 5:
## Ba2PrIrO6 (SCAN)

Data for a PBEsol-optimized structure of Ba2PrIrO6.

Calculated density (g cm⁻³): 7.6
SG: No. 128
E (eV per atom): -25.602
Energy relative to the elements, uncorrected (meV per atom): -2510
Volume (Å³/atom): 15.45
Spin magnetization (μB per cell): 4.00

Unit cell a=6.022 b=6.022 c=8.520 alpha=90.00 beta=90.00 gamma=90.00
Each line ends with the local moment (μB).
Atoms (fractional coordinates):
Pr (0.000, 0.000, 0.500)  -0.02
Ir (0.500, 0.500, 0.500)  1.19
Ba (0.500, 0.000, 0.750)  0.01
O (0.262, 0.722, 0.500)  0.11
O (0.000, 0.000, 0.230)  0.11
O (0.222, 0.762, 0.000)  0.11
Ba (0.000, 0.500, 0.250)  0.01
O (0.778, 0.238, 0.000)  0.11
O (0.500, 0.500, 0.270)  0.11
O (0.500, 0.500, 0.730)  0.11
O (0.278, 0.262, 0.500)  0.11
Ba (0.000, 0.500, 0.750)  0.01
O (0.722, 0.738, 0.500)  0.11
Ir (0.000, 0.000, 0.000)  1.19
O (0.000, 0.000, 0.770)  0.11
Ba (0.500, 0.000, 0.250)  0.01
O (0.738, 0.278, 0.500)  0.11
O (0.762, 0.778, 0.000)  0.11
O (0.238, 0.222, 0.000)  0.11
Pr (0.500, 0.500, 0.000)  -0.02

=====

Entry 6:
## CdHg (SCAN)

Data for a PBEsol-optimized structure of CdHg.

Calculated density (g cm⁻³): 11.9
SG: No. 12
ΔE_f (eV/atom): 0.005
E (eV per atom): -49.285
Volume (Å³/atom): 21.76
Spin magnetization (μB per cell): 0.00

Unit cell a=3.182 b=5.017 c=6.056 alpha=110.27 beta=105.23 gamma=90.00
Atoms (fractional coordinates):
Hg (0.381, 0.222, 0.763)
Hg (0.619, 0.778, 0.237)
Cd (0.870, 0.717, 0.740)
Cd (0.130, 0.283, 0.260)

=====

Entry 7:
## Li2ScNi (SCAN)

Data for a PBEsol-optimized structure of Li2ScNi.

Calculated density (g cm⁻³): 3.1
SG: No. 10
ΔE_f (eV/atom): 0.026
E (eV per atom): -8.771
Volume (Å³/atom): 15.54
Spin magnetization (μB per cell): 0.03

Unit cell a=2.978 b=4.289 c=4.879 alpha=90.00 beta=90.00 gamma=94.13
Atoms (fractional coordinates):
Li (0.215, 0.281, 0.000)
Li (0.785, 0.719, 0.000)
Sc (0.500, 0.000, 0.500)
Ni (0.000, 0.500, 0.500)

=====

Entry 8:
## CdRuCl2 (SCAN)

Data for a PBEsol-optimized structure of CdRuCl2.

Calculated density (g cm⁻³): 5.5
SG: No. 8
E (eV per atom): -20.513
Distance to the lowest polymorph of the same formula (eV/atom): 0.001
Energy relative to the elements, uncorrected (meV per atom): -213
Volume (Å³/atom): 21.54
Spin magnetization (μB per cell): 0.00

Unit cell a=3.025 b=5.346 c=6.197 alpha=115.20 beta=90.00 gamma=106.44
Atoms (fractional coordinates):
Cl (0.849, 0.698, 0.303)
Cd (0.180, 0.360, 0.623)
Cl (0.025, 0.050, 0.949)
Ru (0.446, 0.892, 0.625)

=====

Entry 9:
## BaRhBr2 (SCAN)

Data for a PBEsol-optimized structure of BaRhBr2.

Calculated density (g cm⁻³): 5.4
SG: No. 8
E (eV per atom): -29.020
Energy relative to the elements, uncorrected (meV per atom): -959
Volume (Å³/atom): 30.60
Spin magnetization (μB per cell): 0.00

Unit cell a=4.006 b=5.265 c=6.150 alpha=93.43 beta=109.01 gamma=90.00
Atoms (fractional coordinates):
Br (0.276, 0.294, 0.552)
Ba (0.749, 0.790, 0.499)
Br (0.025, 0.813, 0.050)
Rh (0.450, 0.603, 0.899)

=====

Entry 10:
## LiNiP4O12 (SCAN)

Data for a PBEsol-optimized structure of LiNiP4O12.

Calculated density (g cm⁻³): 2.8
SG: No. 9
E (eV per atom): -9.706
Distance to the lowest polymorph of the same formula (eV/atom): 0.021
Energy relative to the elements, uncorrected (meV per atom): -2210
Volume (Å³/atom): 12.40
Spin magnetization (μB per cell): 2.00

Unit cell a=7.424 b=8.063 c=8.063 alpha=109.55 beta=96.38 gamma=96.38
Each line ends with the local moment (μB).
Atoms (fractional coordinates):
O (0.398, 0.421, 0.742)  -0.01
O (0.012, 0.404, 0.642)  0.00
Ni (0.272, 0.865, 0.132)  0.95
P (0.854, 0.260, 0.569)  0.00
Li (0.702, 0.830, 0.537)  0.00
O (0.193, 0.819, 0.630)  0.00
O (0.661, 0.334, 0.574)  0.00
O (0.349, 0.360, 0.162)  0.00
O (0.026, 0.711, 0.970)  0.06
O (0.523, 0.999, 0.272)  0.06
P (0.854, 0.783, 0.934)  0.01
O (0.693, 0.630, 0.819)  0.00
P (0.598, 0.425, 0.764)  0.00
O (0.161, 0.574, 0.334)  0.00
O (0.023, 0.272, 0.999)  0.06
P (0.692, 0.042, 0.200)  0.01
O (0.837, 0.105, 0.642)  -0.04
O (0.898, 0.742, 0.421)  -0.01
O (0.671, 0.139, 0.068)  -0.02
O (0.849, 0.162, 0.360)  0.00
O (0.196, 0.895, 0.353)  -0.02
O (0.282, 0.119, 0.868)  0.00
O (0.365, 0.837, 0.916)  -0.01
Ni (0.772, 0.132, 0.865)  0.95
Li (0.202, 0.537, 0.830)  0.00
O (0.337, 0.642, 0.105)  -0.04
P (0.354, 0.569, 0.260)  0.00
P (0.098, 0.764, 0.425)  0.00
O (0.696, 0.353, 0.895)  -0.02
O (0.526, 0.970, 0.711)  0.06
O (0.782, 0.868, 0.119)  0.00
O (0.512, 0.642, 0.404)  0.00
O (0.865, 0.916, 0.837)  -0.01
O (0.171, 0.068, 0.139)  -0.02
P (0.192, 0.200, 0.042)  0.01
P (0.354, 0.934, 0.783)  0.01

=====

Entry 11:
## Tc3N (SCAN)

Data for a PBEsol-optimized structure of Tc3N.

Calculated density (g cm⁻³): 10.9
SG: No. 187
E (eV per atom): -28.844
Energy relative to the elements, uncorrected (meV per atom): -227
Volume (Å³/atom): 11.71
Spin magnetization (μB per cell): 0.00

Unit cell a=2.782 b=2.782 c=6.985 alpha=90.00 beta=90.00 gamma=120.00
Atoms (fractional coordinates):
Tc (0.667, 0.333, 0.196)
Tc (0.667, 0.333, 0.804)
N (0.333, 0.667, 0.000)
Tc (0.333, 0.667, 0.500)

=====

Entry 12:
## Sb2AsBr (SCAN)

Data for a PBEsol-optimized structure of Sb2AsBr.

Calculated density (g cm⁻³): 6.8
SG: No. 47
E (eV per atom): -28.144
Distance to the lowest polymorph of the same formula (eV/atom): 0.397
Energy relative to the elements, uncorrected (meV per atom): 399
Volume (Å³/atom): 24.22
Spin magnetization (μB per cell): 0.42

Unit cell a=3.726 b=4.568 c=5.692 alpha=90.00 beta=90.00 gamma=90.00
Each line ends with the local moment (μB).
Atoms (fractional coordinates):
Br (0.000, 0.500, 0.500)  -0.05
As (0.500, 0.500, 0.000)  -0.17
Sb (0.000, 0.000, 0.000)  -0.01
Sb (0.500, 0.000, 0.500)  0.01

=====

Entry 13:
## Li2CdSi (SCAN)

Data for a PBEsol-optimized structure of Li2CdSi.

Calculated density (g cm⁻³): 4.1
SG: No. 139
E (eV per atom): -11.444
Energy relative to the elements, uncorrected (meV per atom): -142
Volume (Å³/atom): 15.59
Spin magnetization (μB per cell): 0.00

Unit cell a=4.073 b=4.735 c=4.073 alpha=64.52 beta=90.00 gamma=115.48
Atoms (fractional coordinates):
Si (0.500, 0.000, 0.500)
Li (0.250, 0.500, 0.250)
Cd (0.000, 0.000, 0.000)
Li (0.750, 0.500, 0.750)

=====

Entry 14:
## NdIn4Ni (SCAN)

Data for a PBEsol-optimized structure of NdIn4Ni.

Calculated density (g cm⁻³): 8.4
SG: No. 63
ΔE_f (eV/atom): -0.457
E (eV per atom): -32.674
Volume (Å³/atom): 21.77
Spin magnetization (μB per cell): 0.00

Unit cell a=4.413 b=7.124 c=8.598 alpha=90.00 beta=104.87 gamma=90.00
Atoms (fractional coordinates):
In (0.426, 0.250, 0.852)
Ni (0.725, 0.750, 0.451)
In (0.812, 0.047, 0.624)
In (0.000, 0.500, 0.000)
In (0.574, 0.750, 0.148)
Nd (0.382, 0.750, 0.763)
In (0.188, 0.953, 0.376)
Ni (0.275, 0.250, 0.549)
In (0.812, 0.453, 0.624)
In (0.000, 0.000, 0.000)
In (0.188, 0.547, 0.376)
Nd (0.618, 0.250, 0.237)

=====

Entry 15:
## Cd2SiP (SCAN)

Data for a PBEsol-optimized structure of Cd2SiP.

Calculated density (g cm⁻³): 6.3
SG: No. 119
E (eV per atom): -19.753
Distance to the lowest polymorph of the same formula (eV/atom): 0.088
Energy relative to the elements, uncorrected (meV per atom): 558
Volume (Å³/atom): 18.59
Spin magnetization (μB per cell): 0.00

Unit cell a=4.204 b=4.204 c=5.151 alpha=114.09 beta=114.09 gamma=90.00
Atoms (fractional coordinates):
Cd (0.000, 0.000, 0.000)
Si (0.250, 0.750, 0.500)
Cd (0.750, 0.250, 0.500)
P (0.500, 0.500, 0.000)

=====

Entry 16:
## LaCd2Rh2 (SCAN)

Data for a PBEsol-optimized structure of LaCd2Rh2.

Calculated density (g cm⁻³): 10.0
SG: No. 127
ΔE_f (eV/atom): -0.415
E (eV per atom): -34.710
Distance to the lowest polymorph of the same formula (eV/atom): 0.015
Volume (Å³/atom): 18.98
Spin magnetization (μB per cell): 0.00

Unit cell a=3.245 b=7.649 c=7.649 alpha=90.00 beta=90.00 gamma=90.00
Atoms (fractional coordinates):
Cd (0.500, 0.132, 0.632)
La (0.000, 0.000, 0.000)
Rh (0.000, 0.835, 0.665)
Rh (0.000, 0.335, 0.835)
Rh (0.000, 0.665, 0.165)
Rh (0.000, 0.165, 0.335)
Cd (0.500, 0.632, 0.868)
Cd (0.500, 0.868, 0.368)
La (0.000, 0.500, 0.500)
Cd (0.500, 0.368, 0.132)

=====

Entry 17:
## Sr2GdNbO6 (SCAN)

Data for a PBEsol-optimized structure of Sr2GdNbO6.

Calculated density (g cm⁻³): 5.8
SG: No. 225
E (eV per atom): -20.591
Energy relative to the elements, uncorrected (meV per atom): -3203
Volume (Å³/atom): 14.86
Spin magnetization (μB per cell): 7.00

Unit cell a=5.945 b=5.945 c=5.945 alpha=60.00 beta=60.00 gamma=60.00
Each line ends with the local moment (μB).
Atoms (fractional coordinates):
O (0.737, 0.263, 0.737)  -0.01
O (0.263, 0.263, 0.737)  -0.01
O (0.737, 0.737, 0.263)  -0.01
Sr (0.250, 0.250, 0.250)  0.00
O (0.263, 0.737, 0.737)  -0.01
O (0.263, 0.737, 0.263)  -0.01
O (0.737, 0.263, 0.263)  -0.01
Nb (0.500, 0.500, 0.500)  0.01
Sr (0.750, 0.750, 0.750)  0.00
Gd (0.000, 0.000, 0.000)  6.96

=====

Entry 18:
## SiIr2Br (SCAN)

Data for a PBEsol-optimized structure of SiIr2Br.

Calculated density (g cm⁻³): 13.0
SG: No. 71
E (eV per atom): -42.379
Distance to the lowest polymorph of the same formula (eV/atom): 0.000
Energy relative to the elements, uncorrected (meV per atom): 539
Volume (Å³/atom): 15.69
Spin magnetization (μB per cell): 0.00

Unit cell a=2.808 b=5.222 c=5.222 alpha=59.57 beta=74.41 gamma=74.41
Atoms (fractional coordinates):
Ir (0.775, 0.225, 0.225)
Br (0.000, 0.500, 0.500)
Ir (0.225, 0.775, 0.775)
Si (0.500, 0.000, 0.000)

=====

Entry 19:
## LaMn3 (SCAN)

Data for a PBEsol-optimized structure of LaMn3.

Calculated density (g cm⁻³): 7.8
SG: No. 123
ΔE_f (eV/atom): 0.058
E (eV per atom): -24.409
Volume (Å³/atom): 16.10
Spin magnetization (μB per cell): 3.57

Unit cell a=2.996 b=2.992 c=7.184 alpha=90.00 beta=89.96 gamma=90.00
Each line ends with the local moment (μB).
Atoms (fractional coordinates):
Mn (0.500, 0.500, 0.676)  3.47
La (0.000, 0.000, 0.000)  -0.30
Mn (0.000, 0.000, 0.500)  -3.14
Mn (0.500, 0.500, 0.324)  3.47

=====

Entry 20:
## MgAg4 (SCAN)

Data for a PBEsol-optimized structure of MgAg4.

Calculated density (g cm⁻³): 8.9
SG: No. 166
ΔE_f (eV/atom): -0.046
E (eV per atom): -26.135
Volume (Å³/atom): 17.10
Spin magnetization (μB per cell): 0.00

Unit cell a=2.933 b=2.933 c=11.596 alpha=82.73 beta=82.73 gamma=60.00
Atoms (fractional coordinates):
Ag (0.800, 0.800, 0.600)
Ag (0.400, 0.400, 0.801)
Ag (0.600, 0.600, 0.199)
Mg (0.000, 0.000, 0.000)
Ag (0.200, 0.200, 0.400)

=====

Entry 21:
## SiTe (SCAN)

Data for a PBEsol-optimized structure of SiTe.

Calculated density (g cm⁻³): 5.6
SG: No. 194
E (eV per atom): -23.156
Energy relative to the elements, uncorrected (meV per atom): 477
Volume (Å³/atom): 23.18
Spin magnetization (μB per cell): 0.00

Unit cell a=3.806 b=3.806 c=7.391 alpha=90.00 beta=90.00 gamma=120.00
Atoms (fractional coordinates):
Si (0.667, 0.333, 0.750)
Te (0.000, 0.000, 0.500)
Te (0.000, 0.000, 0.000)
Si (0.333, 0.667, 0.250)

=====

Entry 22:
## SnB2Br (SCAN)

Data for a PBEsol-optimized structure of SnB2Br.

Calculated density (g cm⁻³): 5.8
SG: No. 225
E (eV per atom): -15.589
Energy relative to the elements, uncorrected (meV per atom): 1970
Volume (Å³/atom): 15.77
Spin magnetization (μB per cell): 0.00

Unit cell a=4.468 b=4.468 c=4.468 alpha=60.00 beta=60.00 gamma=60.00
Atoms (fractional coordinates):
Br (0.000, 0.000, 0.000)
B (0.750, 0.750, 0.750)
B (0.250, 0.250, 0.250)
Sn (0.500, 0.500, 0.500)

=====

Entry 23:
## ZnAgTe (SCAN)

Data for a PBEsol-optimized structure of ZnAgTe.

Calculated density (g cm⁻³): 8.1
SG: No. 42
E (eV per atom): -27.145
Distance to the lowest polymorph of the same formula (eV/atom): 0.164
Energy relative to the elements, uncorrected (meV per atom): 233
Volume (Å³/atom): 20.45
Spin magnetization (μB per cell): 0.00

Unit cell a=3.155 b=3.155 c=6.627 alpha=100.58 beta=100.58 gamma=103.22
Atoms (fractional coordinates):
Ag (0.020, 0.020, 0.040)
Zn (0.652, 0.652, 0.305)
Te (0.328, 0.328, 0.656)

=====

Entry 24:
## ReMo3 (SCAN)

Data for a PBEsol-optimized structure of ReMo3.

Calculated density (g cm⁻³): 13.0
SG: No. 123
ΔE_f (eV/atom): 0.017
E (eV per atom): -43.922
Volume (Å³/atom): 15.12
Spin magnetization (μB per cell): 0.00

Unit cell a=3.115 b=3.115 c=6.231 alpha=90.00 beta=90.00 gamma=90.00
Atoms (fractional coordinates):
Mo (0.000, 0.000, 0.748)
Re (0.500, 0.500, 0.000)
Mo (0.500, 0.500, 0.500)
Mo (0.000, 0.000, 0.252)

=====

Entry 25:
## SrLiNi4 (SCAN)

Data for a PBEsol-optimized structure of SrLiNi4.

Calculated density (g cm⁻³): 6.5
SG: No. 216
ΔE_f (eV/atom): 0.063
E (eV per atom): -14.830
Volume (Å³/atom): 14.04
Spin magnetization (μB per cell): 0.00

Unit cell a=4.921 b=4.921 c=4.921 alpha=60.00 beta=60.00 gamma=60.00
Atoms (fractional coordinates):
Ni (0.374, 0.374, 0.374)
Ni (0.374, 0.878, 0.374)
Ni (0.878, 0.374, 0.374)
Li (0.000, 0.000, 0.000)
Sr (0.750, 0.750, 0.750)
Ni (0.374, 0.374, 0.878)

=====

Entry 26:
## ScAu (SCAN)

Data for a PBEsol-optimized structure of ScAu.

Calculated density (g cm⁻³): 11.4
SG: No. 227
ΔE_f (eV/atom): -0.853
E (eV per atom): -42.550
Volume (Å³/atom): 17.64
Spin magnetization (μB per cell): 0.00

Unit cell a=4.638 b=4.638 c=4.638 alpha=60.00 beta=60.00 gamma=60.00
Atoms (fractional coordinates):
Au (0.000, 0.000, 0.000)
Sc (0.500, 0.500, 0.500)
Sc (0.750, 0.750, 0.750)
Au (0.250, 0.250, 0.250)